Record 1
Below is a geometry-optimized Sr2Li3Cd12Pd structure, with properties calculated at the PBE level.

- DOS at the Fermi energy (states/eV/f.u.) = 8.2
- ΔE_f (eV/f.u.) = -2.09
- space group = R-3m

Cell and atoms, written as CIF:
```
data_Sr2Li3Cd12Pd
_chemical_formula_sum 'Sr2 Li3 Cd12 Pd1'
_cell_length_a 11.4999
_cell_length_b 11.4999
_cell_length_c 11.4999
_cell_angle_alpha 35.62
_cell_angle_beta 35.62
_cell_angle_gamma 35.62
_space_group_name_H-M_alt 'P 1'
_space_group_IT_number 1
loop_
_space_group_symop_operation_xyz
'x,y,z'
loop_
_atom_site_label
_atom_site_type_symbol
_atom_site_fract_x
_atom_site_fract_y
_atom_site_fract_z
_atom_site_occupancy
Sr1 Sr 0.1424 0.1424 0.1424 1
Sr2 Sr 0.8576 0.8576 0.8576 1
Li1 Li 0.0000 0.5000 0.5000 1
Li2 Li 0.5000 0.0000 0.5000 1
Li3 Li 0.5000 0.5000 0.0000 1
Cd1 Cd 0.0911 0.0911 0.6780 1
Cd2 Cd 0.0911 0.6780 0.0911 1
Cd3 Cd 0.1264 0.5926 0.5926 1
Cd4 Cd 0.3220 0.9089 0.9089 1
Cd5 Cd 0.4074 0.4074 0.8736 1
Cd6 Cd 0.4074 0.8736 0.4074 1
Cd7 Cd 0.5926 0.1264 0.5926 1
Cd8 Cd 0.5926 0.5926 0.1264 1
Cd9 Cd 0.6780 0.0911 0.0911 1
Cd10 Cd 0.8736 0.4074 0.4074 1
Cd11 Cd 0.9089 0.3220 0.9089 1
Cd12 Cd 0.9089 0.9089 0.3220 1
Pd1 Pd 0.5000 0.5000 0.5000 1
```

=====

Record 2
Below is a geometry-optimized Cs3Sn2Ge structure, with properties calculated at the PBE level.

- DOS at the Fermi energy (states/eV/f.u.) = 3.9
- ΔE_f (eV/f.u.) = -0.37
- space group = C2/m

Cell and atoms, written as CIF:
```
data_Cs3Sn2Ge
_chemical_formula_sum 'Cs6 Sn4 Ge2'
_cell_length_a 11.8648
_cell_length_b 11.8648
_cell_length_c 15.0025
_cell_angle_alpha 118.75
_cell_angle_beta 118.75
_cell_angle_gamma 21.33
_space_group_name_H-M_alt 'P 1'
_space_group_IT_number 1
loop_
_space_group_symop_operation_xyz
'x,y,z'
loop_
_atom_site_label
_atom_site_type_symbol
_atom_site_fract_x
_atom_site_fract_y
_atom_site_fract_z
_atom_site_occupancy
Cs1 Cs 0.0385 0.0385 0.2474 1
Cs2 Cs 0.2067 0.2067 0.6158 1
Cs3 Cs 0.3330 0.3330 0.9772 1
Cs4 Cs 0.6670 0.6670 0.0228 1
Cs5 Cs 0.7933 0.7933 0.3842 1
Cs6 Cs 0.9615 0.9615 0.7526 1
Sn1 Sn 0.1351 0.1351 0.7915 1
Sn2 Sn 0.4446 0.4446 0.5313 1
Sn3 Sn 0.5554 0.5554 0.4687 1
Sn4 Sn 0.8649 0.8649 0.2085 1
Ge1 Ge 0.4203 0.4203 0.3290 1
Ge2 Ge 0.5797 0.5797 0.6710 1
```

=====

Record 3
Below is a geometry-optimized SrNbP3 structure, with properties calculated at the PBE level.

- DOS at the Fermi energy (states/eV/f.u.) = 6.3
- ΔE_f (eV/f.u.) = -2.17
- ΔE to the lowest computed polymorph (meV per atom) = 0
- space group = Pm-3m

Cell and atoms, written as CIF:
```
data_SrNbP3
_chemical_formula_sum 'Sr1 Nb1 P3'
_cell_length_a 4.8873
_cell_length_b 4.8873
_cell_length_c 4.8873
_cell_angle_alpha 90.00
_cell_angle_beta 90.00
_cell_angle_gamma 90.00
_space_group_name_H-M_alt 'P 1'
_space_group_IT_number 1
loop_
_space_group_symop_operation_xyz
'x,y,z'
loop_
_atom_site_label
_atom_site_type_symbol
_atom_site_fract_x
_atom_site_fract_y
_atom_site_fract_z
_atom_site_occupancy
Sr1 Sr 0.0000 0.0000 0.0000 1
Nb1 Nb 0.5000 0.5000 0.5000 1
P1 P 0.0000 0.5000 0.5000 1
P2 P 0.5000 0.0000 0.5000 1
P3 P 0.5000 0.5000 0.0000 1
```

=====

Record 4
Below is a geometry-optimized Sm2MgZn2Cu5 structure, with properties calculated at the PBE level.

- DOS at the Fermi energy (states/eV/f.u.) = 5.8
- ΔE_f (eV/f.u.) = -1.11
- space group = P4/mbm

Cell and atoms, written as CIF:
```
data_Sm2MgZn2Cu5
_chemical_formula_sum 'Sm4 Mg2 Zn4 Cu10'
_cell_length_a 9.7990
_cell_length_b 9.7990
_cell_length_c 3.6863
_cell_angle_alpha 90.00
_cell_angle_beta 90.00
_cell_angle_gamma 90.00
_space_group_name_H-M_alt 'P 1'
_space_group_IT_number 1
loop_
_space_group_symop_operation_xyz
'x,y,z'
loop_
_atom_site_label
_atom_site_type_symbol
_atom_site_fract_x
_atom_site_fract_y
_atom_site_fract_z
_atom_site_occupancy
Sm1 Sm 0.1803 0.3197 0.0000 1
Sm2 Sm 0.3197 0.8197 0.0000 1
Sm3 Sm 0.6803 0.1803 0.0000 1
Sm4 Sm 0.8197 0.6803 0.0000 1
Mg1 Mg 0.0000 0.0000 0.0000 1
Mg2 Mg 0.5000 0.5000 0.0000 1
Zn1 Zn 0.1171 0.6171 0.0000 1
Zn2 Zn 0.3829 0.1171 0.0000 1
Zn3 Zn 0.6171 0.8829 0.0000 1
Zn4 Zn 0.8829 0.3829 0.0000 1
Cu1 Cu 0.0000 0.5000 0.5000 1
Cu2 Cu 0.0508 0.7914 0.5000 1
Cu3 Cu 0.2086 0.0508 0.5000 1
Cu4 Cu 0.2914 0.5508 0.5000 1
Cu5 Cu 0.4492 0.2914 0.5000 1
Cu6 Cu 0.5000 0.0000 0.5000 1
Cu7 Cu 0.5508 0.7086 0.5000 1
Cu8 Cu 0.7086 0.4492 0.5000 1
Cu9 Cu 0.7914 0.9492 0.5000 1
Cu10 Cu 0.9492 0.2086 0.5000 1
```

=====

Record 5
Below is a geometry-optimized LaPAu structure, with properties calculated at the PBE level.

- DOS at the Fermi energy (states/eV/f.u.) = 1.5
- ΔE_f (eV/f.u.) = -2.07
- space group = I4mm

Cell and atoms, written as CIF:
```
data_LaPAu
_chemical_formula_sum 'La2 P2 Au2'
_cell_length_a 4.0734
_cell_length_b 4.0734
_cell_length_c 8.8390
_cell_angle_alpha 90.00
_cell_angle_beta 90.00
_cell_angle_gamma 90.00
_space_group_name_H-M_alt 'P 1'
_space_group_IT_number 1
loop_
_space_group_symop_operation_xyz
'x,y,z'
loop_
_atom_site_label
_atom_site_type_symbol
_atom_site_fract_x
_atom_site_fract_y
_atom_site_fract_z
_atom_site_occupancy
La1 La 0.0000 0.0000 0.0000 1
La2 La 0.5000 0.5000 0.5000 1
P1 P 0.0000 0.0000 0.6239 1
P2 P 0.5000 0.5000 0.1239 1
Au1 Au 0.0000 0.0000 0.3340 1
Au2 Au 0.5000 0.5000 0.8340 1
```

=====

Record 6
Below is a geometry-optimized YZrS2 structure, with properties calculated at the PBE level.

- DOS at the Fermi energy (states/eV/f.u.) = 2.9
- raw formation energy (eV/atom) = -1.6487
- ΔE to the lowest computed polymorph (meV per atom) = 21
- space group = R3m

Cell and atoms, written as CIF:
```
data_YZrS2
_chemical_formula_sum 'Y3 Zr3 S6'
_cell_length_a 3.7083
_cell_length_b 3.7083
_cell_length_c 19.9493
_cell_angle_alpha 90.00
_cell_angle_beta 90.00
_cell_angle_gamma 120.00
_space_group_name_H-M_alt 'P 1'
_space_group_IT_number 1
loop_
_space_group_symop_operation_xyz
'x,y,z'
loop_
_atom_site_label
_atom_site_type_symbol
_atom_site_fract_x
_atom_site_fract_y
_atom_site_fract_z
_atom_site_occupancy
Y1 Y 0.0000 0.0000 0.0000 1
Y2 Y 0.3333 0.6667 0.6667 1
Y3 Y 0.6667 0.3333 0.3333 1
Zr1 Zr 0.0000 0.0000 0.8238 1
Zr2 Zr 0.3333 0.6667 0.4904 1
Zr3 Zr 0.6667 0.3333 0.1571 1
S1 S 0.0000 0.0000 0.2398 1
S2 S 0.0000 0.0000 0.4162 1
S3 S 0.3333 0.6667 0.0828 1
S4 S 0.3333 0.6667 0.9065 1
S5 S 0.6667 0.3333 0.5732 1
S6 S 0.6667 0.3333 0.7495 1
```

=====

Record 7
Below is a geometry-optimized Pd2IO2 structure, with properties calculated at the PBE level.

- DOS at the Fermi energy (states/eV/f.u.) = 3.9
- raw formation energy (eV/atom) = 0.3066
- ΔE to the lowest computed polymorph (meV per atom) = 145
- space group = P4/mbm

Cell and atoms, written as CIF:
```
data_Pd2IO2
_chemical_formula_sum 'Pd4 I2 O4'
_cell_length_a 6.3793
_cell_length_b 6.3793
_cell_length_c 4.1059
_cell_angle_alpha 90.00
_cell_angle_beta 90.00
_cell_angle_gamma 90.00
_space_group_name_H-M_alt 'P 1'
_space_group_IT_number 1
loop_
_space_group_symop_operation_xyz
'x,y,z'
loop_
_atom_site_label
_atom_site_type_symbol
_atom_site_fract_x
_atom_site_fract_y
_atom_site_fract_z
_atom_site_occupancy
Pd1 Pd 0.1475 0.3525 0.0000 1
Pd2 Pd 0.3525 0.8525 0.0000 1
Pd3 Pd 0.6475 0.1475 0.0000 1
Pd4 Pd 0.8525 0.6475 0.0000 1
I1 I 0.0000 0.0000 0.5000 1
I2 I 0.5000 0.5000 0.5000 1
O1 O 0.1854 0.3146 0.5000 1
O2 O 0.3146 0.8146 0.5000 1
O3 O 0.6854 0.1854 0.5000 1
O4 O 0.8146 0.6854 0.5000 1
```

=====

Record 8
Below is a geometry-optimized TaNi4Ru structure, with properties calculated at the PBE level.

- DOS at the Fermi energy (states/eV/f.u.) = 7.0
- ΔE_f (eV/f.u.) = -1.15
- space group = F-43m

Cell and atoms, written as CIF:
```
data_TaNi4Ru
_chemical_formula_sum 'Ta1 Ni4 Ru1'
_cell_length_a 4.7088
_cell_length_b 4.7088
_cell_length_c 4.7088
_cell_angle_alpha 60.00
_cell_angle_beta 60.00
_cell_angle_gamma 60.00
_space_group_name_H-M_alt 'P 1'
_space_group_IT_number 1
loop_
_space_group_symop_operation_xyz
'x,y,z'
loop_
_atom_site_label
_atom_site_type_symbol
_atom_site_fract_x
_atom_site_fract_y
_atom_site_fract_z
_atom_site_occupancy
Ta1 Ta 0.0000 0.0000 0.0000 1
Ni1 Ni 0.3756 0.3756 0.3756 1
Ni2 Ni 0.3756 0.3756 0.8731 1
Ni3 Ni 0.3756 0.8731 0.3756 1
Ni4 Ni 0.8731 0.3756 0.3756 1
Ru1 Ru 0.7500 0.7500 0.7500 1
```

=====

Record 9
Below is a geometry-optimized Ga2Au2I structure, with properties calculated at the PBE level.

- DOS at the Fermi energy (states/eV/f.u.) = 2.1
- raw formation energy (eV/atom) = -0.0475
- ΔE to the lowest computed polymorph (meV per atom) = 48
- space group = I4/mmm

Cell and atoms, written as CIF:
```
data_Ga2Au2I
_chemical_formula_sum 'Ga4 Au4 I2'
_cell_length_a 4.5061
_cell_length_b 4.5061
_cell_length_c 11.3280
_cell_angle_alpha 90.00
_cell_angle_beta 90.00
_cell_angle_gamma 90.00
_space_group_name_H-M_alt 'P 1'
_space_group_IT_number 1
loop_
_space_group_symop_operation_xyz
'x,y,z'
loop_
_atom_site_label
_atom_site_type_symbol
_atom_site_fract_x
_atom_site_fract_y
_atom_site_fract_z
_atom_site_occupancy
Ga1 Ga 0.0000 0.0000 0.1173 1
Ga2 Ga 0.0000 0.0000 0.8827 1
Ga3 Ga 0.5000 0.5000 0.3827 1
Ga4 Ga 0.5000 0.5000 0.6173 1
Au1 Au 0.0000 0.5000 0.2500 1
Au2 Au 0.0000 0.5000 0.7500 1
Au3 Au 0.5000 0.0000 0.2500 1
Au4 Au 0.5000 0.0000 0.7500 1
I1 I 0.0000 0.0000 0.5000 1
I2 I 0.5000 0.5000 0.0000 1
```

=====

Record 10
Below is a geometry-optimized Tb2HgIr structure, with properties calculated at the PBE level.

- DOS at the Fermi energy (states/eV/f.u.) = 2.3
- ΔE_f (eV/f.u.) = -2.44
- ΔE to the lowest computed polymorph (meV per atom) = 68
- space group = Fm-3m

Cell and atoms, written as CIF:
```
data_Tb2HgIr
_chemical_formula_sum 'Tb8 Hg4 Ir4'
_cell_length_a 7.1527
_cell_length_b 7.1527
_cell_length_c 7.1527
_cell_angle_alpha 90.00
_cell_angle_beta 90.00
_cell_angle_gamma 90.00
_space_group_name_H-M_alt 'P 1'
_space_group_IT_number 1
loop_
_space_group_symop_operation_xyz
'x,y,z'
loop_
_atom_site_label
_atom_site_type_symbol
_atom_site_fract_x
_atom_site_fract_y
_atom_site_fract_z
_atom_site_occupancy
Tb1 Tb 0.2500 0.2500 0.2500 1
Tb2 Tb 0.2500 0.2500 0.7500 1
Tb3 Tb 0.2500 0.7500 0.2500 1
Tb4 Tb 0.2500 0.7500 0.7500 1
Tb5 Tb 0.7500 0.2500 0.2500 1
Tb6 Tb 0.7500 0.2500 0.7500 1
Tb7 Tb 0.7500 0.7500 0.2500 1
Tb8 Tb 0.7500 0.7500 0.7500 1
Hg1 Hg 0.0000 0.0000 0.0000 1
Hg2 Hg 0.0000 0.5000 0.5000 1
Hg3 Hg 0.5000 0.0000 0.5000 1
Hg4 Hg 0.5000 0.5000 0.0000 1
Ir1 Ir 0.0000 0.0000 0.5000 1
Ir2 Ir 0.0000 0.5000 0.0000 1
Ir3 Ir 0.5000 0.0000 0.0000 1
Ir4 Ir 0.5000 0.5000 0.5000 1
```

=====

Record 11
Below is a geometry-optimized Ba2Tl4InBi2 structure, with properties calculated at the PBE level.

- DOS at the Fermi energy (states/eV/f.u.) = 3.1
- ΔE_f (eV/f.u.) = -3.20
- space group = I4/mmm

Cell and atoms, written as CIF:
```
data_Ba2Tl4InBi2
_chemical_formula_sum 'Ba2 Tl4 In1 Bi2'
_cell_length_a 7.8216
_cell_length_b 7.8216
_cell_length_c 7.8216
_cell_angle_alpha 122.64
_cell_angle_beta 122.64
_cell_angle_gamma 85.48
_space_group_name_H-M_alt 'P 1'
_space_group_IT_number 1
loop_
_space_group_symop_operation_xyz
'x,y,z'
loop_
_atom_site_label
_atom_site_type_symbol
_atom_site_fract_x
_atom_site_fract_y
_atom_site_fract_z
_atom_site_occupancy
Ba1 Ba 0.2500 0.7500 0.5000 1
Ba2 Ba 0.7500 0.2500 0.5000 1
Tl1 Tl 0.2097 0.2097 0.4194 1
Tl2 Tl 0.2097 0.7903 0.0000 1
Tl3 Tl 0.7903 0.2097 0.0000 1
Tl4 Tl 0.7903 0.7903 0.5806 1
In1 In 0.5000 0.5000 0.0000 1
Bi1 Bi 0.2290 0.2290 0.0000 1
Bi2 Bi 0.7710 0.7710 0.0000 1
```

=====

Record 12
Below is a geometry-optimized Tl5Cu4 structure, with properties calculated at the PBE level.

- DOS at the Fermi energy (states/eV/f.u.) = 3.4
- ΔE_f (eV/f.u.) = 3.02
- space group = P6_3/mcm

Cell and atoms, written as CIF:
```
data_Tl5Cu4
_chemical_formula_sum 'Tl10 Cu8'
_cell_length_a 8.3166
_cell_length_b 8.3166
_cell_length_c 6.5231
_cell_angle_alpha 90.00
_cell_angle_beta 90.00
_cell_angle_gamma 120.00
_space_group_name_H-M_alt 'P 1'
_space_group_IT_number 1
loop_
_space_group_symop_operation_xyz
'x,y,z'
loop_
_atom_site_label
_atom_site_type_symbol
_atom_site_fract_x
_atom_site_fract_y
_atom_site_fract_z
_atom_site_occupancy
Tl1 Tl 0.0000 0.2743 0.2500 1
Tl2 Tl 0.0000 0.7257 0.7500 1
Tl3 Tl 0.2743 0.0000 0.2500 1
Tl4 Tl 0.2743 0.2743 0.7500 1
Tl5 Tl 0.3333 0.6667 0.0000 1
Tl6 Tl 0.3333 0.6667 0.5000 1
Tl7 Tl 0.6667 0.3333 0.0000 1
Tl8 Tl 0.6667 0.3333 0.5000 1
Tl9 Tl 0.7257 0.0000 0.7500 1
Tl10 Tl 0.7257 0.7257 0.2500 1
Cu1 Cu 0.0000 0.0000 0.0000 1
Cu2 Cu 0.0000 0.0000 0.5000 1
Cu3 Cu 0.0000 0.3883 0.7500 1
Cu4 Cu 0.0000 0.6117 0.2500 1
Cu5 Cu 0.3883 0.0000 0.7500 1
Cu6 Cu 0.3883 0.3883 0.2500 1
Cu7 Cu 0.6117 0.0000 0.2500 1
Cu8 Cu 0.6117 0.6117 0.7500 1
```

=====

Number 1: total moment 0.00 μB/f.u., E -1.5202 eV/atom. Number 2: total moment 0.00 μB/f.u., E -2.5920 eV/atom. Number 3: total moment 0.00 μB/f.u., E -6.0301 eV/atom. Number 4: total moment 0.00 μB/f.u., E -3.5168 eV/atom. Number 5: total moment 0.00 μB/f.u., E -5.2291 eV/atom. Number 6: total moment 0.00 μB/f.u., E -7.4655 eV/atom. Number 7: total moment 0.00 μB/f.u., E -4.0638 eV/atom. Number 8: total moment 1.11 μB/f.u., E -7.5670 eV/atom. Number 9: total moment 0.00 μB/f.u., E -2.8793 eV/atom. Number 10: total moment 0.00 μB/f.u., E -5.2161 eV/atom. Number 11: total moment 0.00 μB/f.u., E -3.0015 eV/atom. Number 12: total moment 0.00 μB/f.u., E -2.7990 eV/atom.